Entry 1:
Here is a PBEsol-optimized structure of IrPt2Rh from the Alexandria database. Energies are from meta-GGA SCAN.

Computed properties:
Crystal system: tetragonal

Unit cell a=2.7220 b=2.7220 c=7.7635 alpha=90.00 beta=90.00 gamma=90.00
Closest atoms and distances in Å follow each position.
Space group P4mm (No. 99)
One atom of each set of equivalent atoms:
Ir1 0.0000 0.0000 0.0000 x1  4 Rh 2.63, 4 Ir 2.72, 4 Pt 2.74
Pt1 0.0000 0.0000 0.5160 x1  8 Pt 2.72-2.81, 4 Rh 2.75
Pt2 0.5000 0.5000 0.2514 x1  8 Pt 2.72-2.81, 4 Ir 2.74
Rh1 0.5000 0.5000 0.7683 x1  4 Ir 2.63, 4 Rh 2.72, 4 Pt 2.75

---

Entry 2:
Here is a PBEsol-optimized structure of IrPt2Rh from the Alexandria database. Energies are from meta-GGA SCAN.

Computed properties:
Crystal system: tetragonal

Unit cell a=3.8542 b=3.8542 c=7.7187 alpha=90.00 beta=90.00 gamma=90.00
Closest atoms and distances in Å follow each position.
Space group I-4m2 (No. 119)
One atom of each set of equivalent atoms:
Ir1 0.0000 0.0000 0.0000 x2  8 Pt 2.73, 4 Rh 2.73
Pt1 0.0000 0.0000 0.5000 x2  4 Ir 2.73, 4 Rh 2.73, 4 Pt 2.73
Pt2 0.0000 0.5000 0.2500 x2  4 Rh 2.73, 4 Ir 2.73, 4 Pt 2.73
Rh1 0.0000 0.5000 0.7500 x2  8 Pt 2.73, 4 Ir 2.73

---

Entry 3:
Here is a PBEsol-optimized structure of IrPtRh2 from the Alexandria database. Energies are from meta-GGA SCAN.

Computed properties:
Crystal system: tetragonal

Unit cell a=3.8188 b=3.8188 c=7.6531 alpha=90.00 beta=90.00 gamma=90.00
Closest atoms and distances in Å follow each position.
Space group I4/mmm (No. 139)
One atom of each set of equivalent atoms:
Ir1 0.0000 0.0000 0.0000 x2  4 Pt 2.70, 8 Rh 2.70
Pt1 0.0000 0.0000 0.5000 x2  4 Ir 2.70, 8 Rh 2.70
Rh1 0.0000 0.5000 0.2500 x4  4 Rh 2.70, 4 Ir 2.70, 4 Pt 2.70

---

Entry 4:
Here is a PBEsol-optimized structure of IrPt2Rh from the Alexandria database. Energies are from meta-GGA SCAN.

Computed properties:
Crystal system: trigonal

Unit cell a=2.7279 b=2.7279 c=26.7703 alpha=90.00 beta=90.00 gamma=120.00
Closest atoms and distances in Å follow each position.
Space group R3m (No. 160, hexagonal axes)
One atom of each set of equivalent atoms:
Ir1 0.0000 0.0000 0.0000 x3  3 Rh 2.64, 6 Ir 2.73, 3 Pt 2.74
Pt1 0.0000 0.0000 0.5041 x3  9 Pt 2.73-2.81, 3 Rh 2.74
Pt2 0.0000 0.0000 0.7506 x3  9 Pt 2.73-2.81, 3 Ir 2.74
Rh1 0.0000 0.0000 0.2544 x3  3 Ir 2.64, 6 Rh 2.73, 3 Pt 2.74

---

Entry 5:
Here is a PBEsol-optimized structure of Ir2PtRh from the Alexandria database. Energies are from meta-GGA SCAN.

Computed properties:
Crystal system: monoclinic

Unit cell a=2.6817 b=4.6742 c=4.6147 alpha=90.00 beta=90.77 gamma=90.00
Closest atoms and distances in Å follow each position.
Space group P2/m (No. 10)
One atom of each set of equivalent atoms:
Ir1 0.2492 0.0000 0.2472 x2  6 Ir 2.63-2.70, 2 Rh 2.68, 2 Pt 2.69
Pt1 0.5000 0.5000 0.5000 x1  4 Rh 2.65-2.68, 2 Pt 2.68, 4 Ir 2.69
Rh1 0.0000 0.5000 0.0000 x1  4 Pt 2.65-2.68, 4 Ir 2.68, 2 Rh 2.68

---

Entry 6:
Here is a PBEsol-optimized structure of IrPtRh2 from the Alexandria database. Energies are from meta-GGA SCAN.

Computed properties:
Crystal system: trigonal

Unit cell a=2.7079 b=2.7079 c=26.4458 alpha=90.00 beta=90.00 gamma=120.00
Closest atoms and distances in Å follow each position.
Space group R3m (No. 160, hexagonal axes)
One atom of each set of equivalent atoms:
Ir1 0.0000 0.0000 0.0000 x3  3 Rh 2.66, 6 Ir 2.71, 3 Pt 2.76
Pt1 0.0000 0.0000 0.7525 x3  6 Pt 2.71, 3 Rh 2.74, 3 Ir 2.76
Rh1 0.0000 0.0000 0.2521 x3  3 Ir 2.66, 9 Rh 2.66-2.71
Rh2 0.0000 0.0000 0.5040 x3  9 Rh 2.66-2.71, 3 Pt 2.74

---

Entry 7:
Here is a PBEsol-optimized structure of IrPt2Rh from the Alexandria database. Energies are from meta-GGA SCAN.

Computed properties:
Crystal system: orthorhombic

Unit cell a=2.7299 b=3.8500 c=5.4616 alpha=90.00 beta=90.00 gamma=90.00
Closest atoms and distances in Å follow each position.
Space group Pmm2 (No. 25)
One atom of each set of equivalent atoms:
Ir1 0.0000 0.0000 0.0000 x1  6 Pt 2.67-2.79, 4 Rh 2.69, 2 Ir 2.73
Pt1 0.0000 0.0000 0.5107 x1  2 Ir 2.67-2.79, 6 Pt 2.73-2.75, 4 Rh 2.74
Pt2 0.5000 0.5000 0.2519 x1  2 Rh 2.66-2.80, 6 Pt 2.73-2.75, 4 Ir 2.73
Rh1 0.5000 0.5000 0.7648 x1  6 Pt 2.66-2.80, 4 Ir 2.69, 2 Rh 2.73

---

Entry 8:
Here is a PBEsol-optimized structure of IrPt2Rh from the Alexandria database. Energies are from meta-GGA SCAN.

Computed properties:
Crystal system: tetragonal

Unit cell a=2.7372 b=2.7372 c=7.6616 alpha=90.00 beta=90.00 gamma=90.00
Closest atoms and distances in Å follow each position.
Space group P4/mmm (No. 123)
One atom of each set of equivalent atoms:
Ir1 0.0000 0.0000 0.0000 x1  8 Pt 2.72, 4 Ir 2.74
Pt1 0.5000 0.5000 0.2500 x2  4 Rh 2.72, 4 Ir 2.72, 4 Pt 2.74
Rh1 0.0000 0.0000 0.5000 x1  8 Pt 2.72, 4 Rh 2.74

---

Entry 9:
Here is a PBEsol-optimized structure of Ir2PtRh from the Alexandria database. Energies are from meta-GGA SCAN.

Computed properties:
Crystal system: orthorhombic

Unit cell a=5.4200 b=7.6671 c=2.7194 alpha=90.00 beta=90.00 gamma=90.00
Closest atoms and distances in Å follow each position.
Space group Cmmm (No. 65)
One atom of each set of equivalent atoms:
Ir1 0.2500 0.2500 0.0000 x4  4 Ir 2.71-2.72, 4 Rh 2.71, 4 Pt 2.71
Pt1 0.0000 0.0000 0.5000 x2  2 Rh 2.71, 8 Ir 2.71, 2 Pt 2.72
Rh1 0.0000 0.5000 0.5000 x2  2 Pt 2.71, 8 Ir 2.71, 2 Rh 2.72

---

Entry 10:
Here is a PBEsol-optimized structure of IrPtRh2 from the Alexandria database. Energies are from meta-GGA SCAN.

Computed properties:
Crystal system: orthorhombic

Unit cell a=5.4034 b=7.6476 c=2.7025 alpha=90.00 beta=90.00 gamma=90.00
Closest atoms and distances in Å follow each position.
Space group Cmmm (No. 65)
One atom of each set of equivalent atoms:
Ir1 0.0000 0.0000 0.0000 x2  2 Pt 2.70, 2 Ir 2.70, 8 Rh 2.70
Pt1 0.0000 0.5000 0.0000 x2  2 Ir 2.70, 2 Pt 2.70, 8 Rh 2.70
Rh1 0.2500 0.2500 0.5000 x4  4 Rh 2.70, 4 Ir 2.70, 4 Pt 2.70

---

Entry 11:
Here is a PBEsol-optimized structure of Ir2PtRh from the Alexandria database. Energies are from meta-GGA SCAN.

Computed properties:
Crystal system: monoclinic

Unit cell a=8.9914 b=2.7147 c=4.6979 alpha=90.00 beta=100.01 gamma=90.00
Closest atoms and distances in Å follow each position.
Space group C2/m (No. 12)
One atom of each set of equivalent atoms:
Ir1 0.2479 0.0000 0.2459 x4  6 Ir 2.69-2.74, 3 Rh 2.69-2.72, 3 Pt 2.71-2.73
Pt1 0.0000 0.0000 0.5000 x2  6 Ir 2.71-2.73, 4 Rh 2.71, 2 Pt 2.71
Rh1 0.0000 0.5000 0.0000 x2  6 Ir 2.69-2.72, 4 Pt 2.71, 2 Rh 2.71

---

Entry 12:
Here is a PBEsol-optimized structure of IrPtRh2 from the Alexandria database. Energies are from meta-GGA SCAN.

Computed properties:
Crystal system: tetragonal

Unit cell a=2.7021 b=2.7021 c=7.6548 alpha=90.00 beta=90.00 gamma=90.00
Closest atoms and distances in Å follow each position.
Space group P4mm (No. 99)
One atom of each set of equivalent atoms:
Ir1 0.0000 0.0000 0.0000 x1  4 Rh 2.66, 4 Ir 2.70, 4 Pt 2.75
Pt1 0.5000 0.5000 0.2583 x1  4 Pt 2.70, 4 Rh 2.74, 4 Ir 2.75
Rh1 0.0000 0.0000 0.5154 x1  8 Rh 2.67-2.70, 4 Pt 2.74
Rh2 0.5000 0.5000 0.7592 x1  4 Ir 2.66, 8 Rh 2.67-2.70

---

Entry 13:
Here is a PBEsol-optimized structure of IrPtRh2 from the Alexandria database. Energies are from meta-GGA SCAN.

Computed properties:
Crystal system: monoclinic

Unit cell a=8.9591 b=2.7052 c=4.6843 alpha=90.00 beta=99.96 gamma=90.00
Closest atoms and distances in Å follow each position.
Space group C2/m (No. 12)
One atom of each set of equivalent atoms:
Ir1 0.0000 0.0000 0.0000 x2  6 Rh 2.67-2.71, 4 Pt 2.70, 2 Ir 2.71
Pt1 0.0000 0.5000 0.5000 x2  6 Rh 2.69-2.73, 4 Ir 2.70, 2 Pt 2.71
Rh1 0.2469 0.5000 0.2436 x4  6 Rh 2.66-2.75, 3 Ir 2.67-2.71, 3 Pt 2.69-2.73

---

Entry 14:
Here is a PBEsol-optimized structure of Ir2PtRh from the Alexandria database. Energies are from meta-GGA SCAN.

Computed properties:
Crystal system: orthorhombic

Unit cell a=2.6540 b=4.6743 c=9.3442 alpha=90.00 beta=90.00 gamma=90.00
Closest atoms and distances in Å follow each position.
Space group Cmm2 (No. 35)
One atom of each set of equivalent atoms:
Ir1 0.0000 0.0000 0.0000 x2  2 Rh 2.64, 8 Ir 2.65-2.69
Ir2 0.0000 0.5000 0.2462 x2  8 Ir 2.65-2.69, 2 Pt 2.74
Pt1 0.0000 0.0000 0.5026 x2  6 Pt 2.65-2.69, 2 Rh 2.71, 2 Ir 2.74
Rh1 0.0000 0.5000 0.7553 x2  2 Ir 2.64, 6 Rh 2.65-2.69, 2 Pt 2.71

---

Entry 15:
Here is a PBEsol-optimized structure of IrPtRh2 from the Alexandria database. Energies are from meta-GGA SCAN.

Computed properties:
Crystal system: monoclinic

Unit cell a=8.9521 b=2.7063 c=4.6839 alpha=90.00 beta=100.03 gamma=90.00
Closest atoms and distances in Å follow each position.
Space group Cm (No. 8)
One atom of each set of equivalent atoms:
Ir1 0.0000 0.0000 0.0000 x2  7 Rh 2.66-2.73, 2 Ir 2.71, 3 Pt 2.71-2.72
Pt1 0.2489 0.0000 0.7443 x2  7 Rh 2.69-2.72, 2 Pt 2.71, 3 Ir 2.71-2.72
Rh1 0.2464 0.5000 0.2411 x2  3 Ir 2.66-2.71, 4 Pt 2.70-2.71, 5 Rh 2.70-2.71
Rh2 0.4962 0.0000 0.4918 x2  4 Ir 2.68-2.73, 3 Pt 2.69-2.72, 5 Rh 2.70-2.71

---

So what do the calculations give for DFT formation energy? Going down the list: -0.007, 0.018, -0.030, 0.013, 0.205, 0.014, 0.017, 0.056, 0.064, -0.008, 0.027, 0.013, -0.020, 0.202, -0.011 eV per atom.
So what do the calculations give for relative energy among the computed polymorphs? Going down the list: 0.000, 0.025, 0.028, 0.020, 0.213, 0.072, 0.024, 0.063, 0.071, 0.050, 0.035, 0.071, 0.038, 0.210, 0.047 eV per atom.
So what do the calculations give for N(E_F)? Going down the list: 3.489, 8.576, 8.023, 14.881, 4.050, 13.706, 4.497, 5.347, 9.355, 10.532, 9.105, 4.845, 7.764, 7.852, 8.786 states/eV/cell.